# GGA-PBE HoTh2TlC, relaxed
# VASP energy: -32.50 eV for the cell shown
# Calculated volume: 128.1 Å³/f.u.
# Calculated formation energy: -0.30 eV/atom
data_HoTh2TlC
_chemical_formula_sum 'Ho1 Th2 Tl1 C1'
_cell_length_a 5.080
_cell_length_b 5.080
_cell_length_c 4.963
_cell_angle_alpha 90.00
_cell_angle_beta 90.00
_cell_angle_gamma 90.00
_space_group_name_H-M_alt 'P 4/m m m'
_space_group_IT_number 123
_space_group_name_Hall '-P 4 2'
loop_
_atom_site_label
_atom_site_type_symbol
_atom_site_fract_x
_atom_site_fract_y
_atom_site_fract_z
Ho1 Ho 0.000 0.000 0.000
Th1 Th 0.000 0.500 0.500
Tl1 Tl 0.500 0.500 0.000
C1 C 0.000 0.000 0.500

# GGA-PBE Sr2AcTmS4, relaxed
# VASP energy: -44.39 eV for the cell shown
# Calculated volume: 205.9 Å³/f.u.
data_Sr2AcTmS4
_chemical_formula_sum 'Sr2 Ac1 Tm1 S4'
_cell_length_a 7.222
_cell_length_b 4.145
_cell_length_c 7.274
_cell_angle_alpha 90.00
_cell_angle_beta 109.01
_cell_angle_gamma 90.00
_space_group_name_H-M_alt 'P 1 2/m 1'
_space_group_IT_number 10
loop_
_space_group_symop_operation_xyz
'x,y,z'
'-x,-y,-z'
'-x,y,-z'
'x,-y,z'
loop_
_atom_site_label
_atom_site_type_symbol
_atom_site_fract_x
_atom_site_fract_y
_atom_site_fract_z
Sr1 Sr 0.000 0.000 0.000
Sr2 Sr 0.500 0.500 0.000
Ac1 Ac 0.000 0.500 0.500
Tm1 Tm 0.500 0.000 0.500
S1 S 0.267 0.000 0.743
S2 S 0.273 0.500 0.269

# GGA-PBE ThZrZnCd, relaxed
# VASP energy: -73.37 eV for the cell shown
# Calculated volume: 95.0 Å³/f.u.
# Distance to the lowest polymorph of the same formula: 0.086 eV/atom
# Calculated formation energy: -0.05 eV/atom
data_ThZrZnCd
_chemical_formula_sum 'Th4 Zr4 Zn4 Cd4'
_cell_length_a 7.244
_cell_length_b 7.244
_cell_length_c 7.244
_cell_angle_alpha 90.00
_cell_angle_beta 90.00
_cell_angle_gamma 90.00
_space_group_name_H-M_alt 'F -4 3 m'
_space_group_IT_number 216
_space_group_name_Hall 'F -4 2 3'
loop_
_atom_site_label
_atom_site_type_symbol
_atom_site_fract_x
_atom_site_fract_y
_atom_site_fract_z
Th1 Th 0.000 0.000 0.000
Zr1 Zr 0.000 0.000 0.500
Zn1 Zn 0.250 0.250 0.250
Cd1 Cd 0.250 0.250 0.750